DFT (PBE-GGA) results for crystalline Mn3PbCl at its relaxed geometry.

## Properties
E_form (uncorrected) (eV per atom): 0.67
Total moment (μB per atom): 2.103

a b c (Å): 4.5496 4.5496 4.5496
angles (deg): 90.00 90.00 90.00
Closest atoms and distances in Å follow each position.
Space group Pm-3m (No. 221)
Symmetry-distinct sites (fractional):
Mn  0.0000  0.0000  0.5000 x3  2 Cl 2.27
Pb  0.5000  0.5000  0.5000 x1  12 Mn 3.22
Cl  0.0000  0.0000  0.0000 x1  6 Mn 2.27

DFT (PBE-GGA) results for crystalline MnPbCl2 at its relaxed geometry.

## Properties
E_form (uncorrected) (eV per atom): -0.07
Total moment (μB per atom): 1.195

a b c (Å): 7.2595 7.2595 7.2595
angles (deg): 90.00 90.00 90.00
Closest atoms and distances in Å follow each position.
Space group Fm-3m (No. 225)
Symmetry-distinct sites (fractional):
Mn  0.0000  0.0000  0.0000 x4  8 Cl 3.14
Pb  0.0000  0.0000  0.5000 x4  8 Cl 3.14
Cl  0.2500  0.2500  0.2500 x8  4 Mn 3.14, 4 Pb 3.14

DFT (PBE-GGA) results for crystalline Mn2PbCl at its relaxed geometry.

## Properties
E_form (uncorrected) (eV per atom): 0.46
Total moment (μB per atom): 1.876

a b c (Å): 6.8665 6.8665 6.8665
angles (deg): 90.00 90.00 90.00
Closest atoms and distances in Å follow each position.
Space group Fm-3m (No. 225)
Symmetry-distinct sites (fractional):
Mn  0.2500  0.2500  0.2500 x8  4 Cl 2.97, 4 Pb 2.97
Pb  0.0000  0.0000  0.0000 x4  8 Mn 2.97
Cl  0.0000  0.0000  0.5000 x4  8 Mn 2.97